No. 1
Compound: KPSe2
Source: the Alexandria database
Functional: PBE
Structure: relaxed

Unit cell a=6.852 b=6.914 c=7.346 alpha=69.57 beta=63.96 gamma=85.54
Element x y z (fractional)
K1 0.000 0.000 0.000
K2 0.498 0.488 0.063
P1 0.619 0.074 0.636
P2 0.918 0.296 0.440
Se1 0.045 0.440 0.589
Se2 0.506 0.016 0.982
Se3 0.973 0.468 0.106
Se4 0.976 0.952 0.493

- V: 146 Å³/f.u.
- Final energy: -31.6 eV for the cell shown
- ΔE_f (raw): -575 meV per atom

No. 2
Compound: KPSe3
Source: the Alexandria database
Functional: PBE
Structure: relaxed

Unit cell a=14.969 b=14.969 c=19.216 alpha=90.00 beta=90.00 gamma=120.00
Element x y z (fractional)
K1 0.032 0.945 0.000
K2 0.034 0.491 0.008
K3 0.055 0.086 0.333
K4 0.056 0.581 0.333
K5 0.303 0.628 0.512
K6 0.306 0.085 0.522
K7 0.321 0.202 0.179
K8 0.324 0.697 0.179
K9 0.372 0.676 0.846
K10 0.419 0.223 0.850
K11 0.419 0.475 0.667
K12 0.456 0.966 0.674
K13 0.509 0.544 0.341
K14 0.511 0.043 0.337
K15 0.525 0.944 0.000
K16 0.531 0.489 0.004
K17 0.777 0.196 0.183
K18 0.778 0.694 0.189
K19 0.798 0.119 0.513
K20 0.804 0.581 0.516
K21 0.881 0.679 0.846
K22 0.914 0.968 0.666
K23 0.915 0.222 0.855
K24 0.957 0.469 0.671
P1 0.084 0.792 0.647
P2 0.100 0.295 0.647
P3 0.125 0.256 0.538
P4 0.127 0.767 0.538
P5 0.128 0.376 0.205
P6 0.130 0.875 0.204
P7 0.195 0.900 0.314
P8 0.198 0.404 0.313
P9 0.205 0.802 0.980
P10 0.208 0.292 0.980
P11 0.233 0.360 0.871
P12 0.248 0.872 0.871
P13 0.589 0.290 0.649
P14 0.596 0.795 0.646
P15 0.624 0.752 0.538
P16 0.629 0.261 0.540
P17 0.632 0.371 0.207
P18 0.640 0.873 0.205
P19 0.700 0.411 0.315
P20 0.705 0.805 0.980
P21 0.708 0.916 0.313
P22 0.710 0.300 0.982
P23 0.739 0.368 0.873
P24 0.744 0.870 0.871
Se1 0.013 0.214 0.200
Se2 0.014 0.713 0.204
Se3 0.015 0.100 0.507
Se4 0.032 0.797 0.367
Se5 0.038 0.714 0.985
Se6 0.039 0.311 0.371
Se7 0.046 0.178 0.986
Se8 0.046 0.606 0.508
Se9 0.065 0.867 0.482
Se10 0.081 0.487 0.179
Se11 0.085 0.985 0.174
Se12 0.090 0.380 0.486
Se13 0.132 0.715 0.815
Se14 0.132 0.954 0.652
Se15 0.133 0.198 0.816
Se16 0.155 0.449 0.870
Se17 0.176 0.462 0.649
Se18 0.201 0.987 0.867
Se19 0.203 0.235 0.700
Se20 0.203 0.753 0.701
Se21 0.247 0.451 0.035
Se22 0.272 0.060 0.345
Se23 0.272 0.961 0.038
Se24 0.280 0.566 0.340
Se25 0.285 0.417 0.148
Se26 0.286 0.324 0.318
Se27 0.286 0.720 0.006
Se28 0.286 0.824 0.315
Se29 0.287 0.301 0.537
Se30 0.289 0.910 0.152
Se31 0.295 0.845 0.537
Se32 0.319 0.246 0.006
Se33 0.394 0.439 0.842
Se34 0.406 0.919 0.846
Se35 0.433 0.179 0.679
Se36 0.434 0.714 0.673
Se37 0.513 0.594 0.512
Se38 0.538 0.714 0.982
Se39 0.542 0.289 0.369
Se40 0.544 0.204 0.201
Se41 0.546 0.100 0.512
Se42 0.549 0.183 0.982
Se43 0.549 0.797 0.368
Se44 0.551 0.705 0.203
Se45 0.554 0.454 0.179
Se46 0.561 0.954 0.175
Se47 0.564 0.358 0.484
Se48 0.583 0.868 0.482
Se49 0.620 0.711 0.819
Se50 0.634 0.451 0.649
Se51 0.642 0.206 0.817
Se52 0.660 0.456 0.868
Se53 0.676 0.962 0.651
Se54 0.689 0.728 0.705
Se55 0.699 0.986 0.870
Se56 0.711 0.254 0.703
Se57 0.746 0.458 0.036
Se58 0.746 0.567 0.345
Se59 0.754 0.073 0.339
Se60 0.765 0.968 0.034
Se61 0.786 0.799 0.534
Se62 0.789 0.728 0.011
Se63 0.794 0.436 0.151
Se64 0.796 0.340 0.534
Se65 0.802 0.935 0.149
Se66 0.817 0.366 0.315
Se67 0.821 0.254 0.012
Se68 0.822 0.868 0.319
Se69 0.900 0.446 0.846
Se70 0.900 0.915 0.841
Se71 0.927 0.681 0.673
Se72 0.940 0.211 0.678

- V: 155 Å³/f.u.
- Final energy: -470.5 eV for the cell shown
- ΔE_f (raw): -529 meV per atom

No. 3
Compound: KPSe2
Source: the Alexandria database
Functional: PBE
Structure: relaxed

Unit cell a=3.338 b=3.338 c=9.222 alpha=90.00 beta=90.00 gamma=90.00
Element x y z (fractional)
K1 0.000 0.000 0.000
P1 0.500 0.500 0.286
Se1 0.000 0.000 0.382
Se2 0.500 0.500 0.751

- V: 103 Å³/f.u.
- Final energy: -13.7 eV for the cell shown
- ΔE_f (raw): -57 meV per atom

No. 4
Compound: KPSe
Source: the Alexandria database
Functional: PBE
Structure: relaxed

Unit cell a=8.061 b=8.061 c=4.474 alpha=90.00 beta=90.00 gamma=132.69
Element x y z (fractional)
K1 0.179 0.821 0.750
K2 0.821 0.179 0.250
P1 0.500 0.500 0.000
P2 0.500 0.500 0.500
Se1 0.341 0.659 0.250
Se2 0.659 0.341 0.750

- V: 107 Å³/f.u.
- Final energy: -22.0 eV for the cell shown
- ΔE_f (raw): -340 meV per atom

No. 5
Compound: KPSe2
Source: the Alexandria database
Functional: PBE
Structure: relaxed

Unit cell a=7.484 b=7.484 c=7.484 alpha=42.65 beta=42.65 gamma=42.65
Element x y z (fractional)
K1 0.000 0.000 0.000
P1 0.500 0.500 0.500
Se1 0.390 0.390 0.390
Se2 0.610 0.610 0.610

- V: 174 Å³/f.u.
- Final energy: -13.4 eV for the cell shown
- ΔE_f (raw): 28 meV per atom

No. 6
Compound: K2PSe
Source: the Alexandria database
Functional: PBE
Structure: relaxed

Unit cell a=2.851 b=4.404 c=8.662 alpha=90.00 beta=90.00 gamma=90.00
Element x y z (fractional)
K1 0.000 0.000 0.245
K2 0.000 0.000 0.755
P1 0.500 0.500 0.500
Se1 0.500 0.500 0.000

- V: 109 Å³/f.u.
- Final energy: -12.1 eV for the cell shown
- ΔE_f (raw): -264 meV per atom

No. 7
Compound: K2PSe
Source: the Alexandria database
Functional: PBE
Structure: relaxed

Unit cell a=10.427 b=10.427 c=10.427 alpha=19.82 beta=19.82 gamma=19.82
Element x y z (fractional)
K1 0.250 0.250 0.250
K2 0.750 0.750 0.750
P1 0.500 0.500 0.500
Se1 0.000 0.000 0.000

- V: 114 Å³/f.u.
- Final energy: -11.1 eV for the cell shown
- ΔE_f (raw): -15 meV per atom

No. 8
Compound: KPSe
Source: the Alexandria database
Functional: PBE
Structure: relaxed

Unit cell a=4.942 b=4.942 c=4.942 alpha=60.00 beta=60.00 gamma=60.00
Element x y z (fractional)
K1 0.000 0.000 0.000
P1 0.750 0.750 0.750
Se1 0.500 0.500 0.500

- V: 85 Å³/f.u.
- Final energy: -9.3 eV for the cell shown
- ΔE_f (raw): 227 meV per atom

No. 9
Compound: K2PSe
Source: the Alexandria database
Functional: PBE
Structure: relaxed

Unit cell a=3.740 b=3.740 c=9.723 alpha=90.00 beta=90.00 gamma=90.00
Element x y z (fractional)
K1 0.000 0.000 0.000
K2 0.500 0.500 0.433
P1 0.000 0.000 0.685
Se1 0.500 0.500 0.750

- V: 136 Å³/f.u.
- Final energy: -11.7 eV for the cell shown
- ΔE_f (raw): -145 meV per atom

No. 10
Compound: K2PSe
Source: the Alexandria database
Functional: PBE
Structure: relaxed

Unit cell a=5.863 b=5.863 c=5.863 alpha=133.97 beta=133.97 gamma=67.14
Element x y z (fractional)
K1 0.250 0.750 0.500
K2 0.750 0.250 0.500
P1 0.000 0.000 0.000
Se1 0.500 0.500 0.000

- V: 103 Å³/f.u.
- Final energy: -12.1 eV for the cell shown
- ΔE_f (raw): -245 meV per atom

No. 11
Compound: KPSe
Source: the Alexandria database
Functional: PBE
Structure: relaxed

Unit cell a=5.188 b=5.188 c=6.304 alpha=90.00 beta=90.00 gamma=90.00
Element x y z (fractional)
K1 0.250 0.250 0.127
K2 0.750 0.750 0.873
P1 0.250 0.750 0.500
P2 0.750 0.250 0.500
Se1 0.250 0.250 0.605
Se2 0.750 0.750 0.395

- V: 85 Å³/f.u.
- Final energy: -21.0 eV for the cell shown
- ΔE_f (raw): -163 meV per atom

No. 12
Compound: KPSe2
Source: the Alexandria database
Functional: PBE
Structure: relaxed

Unit cell a=5.969 b=5.969 c=2.747 alpha=94.63 beta=94.63 gamma=90.01
Element x y z (fractional)
K1 0.000 0.000 0.000
P1 0.500 0.500 0.000
Se1 0.000 0.500 0.000
Se2 0.500 0.000 0.000

- V: 97 Å³/f.u.
- Final energy: -13.3 eV for the cell shown
- ΔE_f (raw): 44 meV per atom

No. 13
Compound: KPSe3
Source: the Alexandria database
Functional: PBE
Structure: relaxed

Unit cell a=7.469 b=7.469 c=19.235 alpha=90.00 beta=90.00 gamma=120.00
Element x y z (fractional)
K1 0.265 0.536 0.244
K2 0.271 0.735 0.910
K3 0.464 0.729 0.577
K4 0.536 0.265 0.756
K5 0.729 0.464 0.423
K6 0.735 0.271 0.090
P1 0.068 0.920 0.112
P2 0.080 0.148 0.446
P3 0.148 0.080 0.554
P4 0.852 0.932 0.779
P5 0.920 0.068 0.888
P6 0.932 0.852 0.221
Se1 0.023 0.749 0.559
Se2 0.069 0.255 0.724
Se3 0.186 0.931 0.391
Se4 0.194 0.724 0.084
Se5 0.251 0.274 0.892
Se6 0.255 0.069 0.276
Se7 0.274 0.251 0.108
Se8 0.276 0.469 0.418
Se9 0.469 0.276 0.582
Se10 0.531 0.806 0.751
Se11 0.724 0.194 0.916
Se12 0.726 0.977 0.225
Se13 0.745 0.814 0.057
Se14 0.749 0.023 0.441
Se15 0.806 0.531 0.249
Se16 0.814 0.745 0.943
Se17 0.931 0.186 0.609
Se18 0.977 0.726 0.775

- V: 155 Å³/f.u.
- Final energy: -117.6 eV for the cell shown
- ΔE_f (raw): -527 meV per atom

No. 14
Compound: KPSe
Source: the Alexandria database
Functional: PBE
Structure: relaxed

Unit cell a=6.252 b=6.252 c=6.252 alpha=146.17 beta=146.17 gamma=48.60
Element x y z (fractional)
K1 0.000 0.000 0.000
P1 0.278 0.278 0.000
Se1 0.722 0.722 0.000

- V: 75 Å³/f.u.
- Final energy: -10.7 eV for the cell shown
- ΔE_f (raw): -250 meV per atom

No. 15
Compound: K2PSe
Source: the Alexandria database
Functional: PBE
Structure: relaxed

Unit cell a=5.398 b=5.398 c=4.058 alpha=90.00 beta=90.00 gamma=115.25
Element x y z (fractional)
K1 0.000 0.500 0.000
K2 0.500 0.000 0.000
P1 0.000 0.000 0.500
Se1 0.500 0.500 0.500

- V: 107 Å³/f.u.
- Final energy: -12.1 eV for the cell shown
- ΔE_f (raw): -263 meV per atom

No. 16
Compound: KPSe
Source: the Alexandria database
Functional: PBE
Structure: relaxed

Unit cell a=4.991 b=4.991 c=4.991 alpha=60.00 beta=60.00 gamma=60.00
Element x y z (fractional)
K1 0.000 0.000 0.000
P1 0.250 0.250 0.250
Se1 0.750 0.750 0.750

- V: 88 Å³/f.u.
- Final energy: -8.1 eV for the cell shown
- ΔE_f (raw): 640 meV per atom

No. 17
Compound: K3P5Se12
Source: the Alexandria database
Functional: PBE
Structure: relaxed

Unit cell a=14.030 b=14.030 c=14.030 alpha=109.47 beta=109.47 gamma=109.47
Element x y z (fractional)
K1 0.125 0.250 0.375
K2 0.125 0.375 0.750
K3 0.250 0.375 0.125
K4 0.250 0.875 0.625
K5 0.375 0.125 0.250
K6 0.375 0.750 0.125
K7 0.625 0.250 0.875
K8 0.625 0.875 0.750
K9 0.750 0.125 0.375
K10 0.750 0.625 0.875
K11 0.875 0.625 0.250
K12 0.875 0.750 0.625
P1 0.000 0.000 0.000
P2 0.000 0.000 0.500
P3 0.000 0.500 0.000
P4 0.000 0.500 0.500
P5 0.125 0.750 0.875
P6 0.125 0.875 0.250
P7 0.250 0.125 0.875
P8 0.250 0.625 0.375
P9 0.375 0.250 0.625
P10 0.375 0.625 0.750
P11 0.500 0.000 0.000
P12 0.500 0.000 0.500
P13 0.500 0.500 0.000
P14 0.500 0.500 0.500
P15 0.625 0.375 0.250
P16 0.625 0.750 0.375
P17 0.750 0.375 0.625
P18 0.750 0.875 0.125
P19 0.875 0.125 0.750
P20 0.875 0.250 0.125
Se1 0.011 0.200 0.111
Se2 0.011 0.311 0.900
Se3 0.089 0.700 0.689
Se4 0.089 0.889 0.400
Se5 0.100 0.611 0.411
Se6 0.100 0.989 0.689
Se7 0.111 0.011 0.200
Se8 0.111 0.600 0.911
Se9 0.189 0.200 0.589
Se10 0.189 0.489 0.600
Se11 0.200 0.111 0.011
Se12 0.200 0.589 0.189
Se13 0.300 0.311 0.911
Se14 0.300 0.489 0.389
Se15 0.311 0.900 0.011
Se16 0.311 0.911 0.300
Se17 0.389 0.300 0.489
Se18 0.389 0.589 0.900
Se19 0.400 0.089 0.889
Se20 0.400 0.811 0.511
Se21 0.411 0.100 0.611
Se22 0.411 0.811 0.800
Se23 0.489 0.389 0.300
Se24 0.489 0.600 0.189
Se25 0.511 0.400 0.811
Se26 0.511 0.611 0.700
Se27 0.589 0.189 0.200
Se28 0.589 0.900 0.389
Se29 0.600 0.189 0.489
Se30 0.600 0.911 0.111
Se31 0.611 0.411 0.100
Se32 0.611 0.700 0.511
Se33 0.689 0.089 0.700
Se34 0.689 0.100 0.989
Se35 0.700 0.511 0.611
Se36 0.700 0.689 0.089
Se37 0.800 0.411 0.811
Se38 0.800 0.889 0.989
Se39 0.811 0.511 0.400
Se40 0.811 0.800 0.411
Se41 0.889 0.400 0.089
Se42 0.889 0.989 0.800
Se43 0.900 0.011 0.311
Se44 0.900 0.389 0.589
Se45 0.911 0.111 0.600
Se46 0.911 0.300 0.311
Se47 0.989 0.689 0.100
Se48 0.989 0.800 0.889

- V: 531 Å³/f.u.
- Final energy: -304.3 eV for the cell shown
- ΔE_f (raw): -196 meV per atom